Below is Zn4Ni15Pt after structural relaxation, with properties calculated at the GGA-PBE level.

Lattice parameters (Å, degrees): 3.602 3.602 17.877 90.00 90.00 90.00
Sites, in units of the cell vectors:
Zn: 0.000 0.000 0.099
Zn: 0.000 0.000 0.297
Zn: 0.000 0.000 0.703
Zn: 0.000 0.000 0.901
Ni: 0.000 0.500 0.000
Ni: 0.000 0.500 0.199
Ni: 0.000 0.500 0.397
Ni: 0.000 0.500 0.603
Ni: 0.000 0.500 0.801
Ni: 0.500 0.000 0.000
Ni: 0.500 0.000 0.199
Ni: 0.500 0.000 0.397
Ni: 0.500 0.000 0.603
Ni: 0.500 0.000 0.801
Ni: 0.500 0.500 0.100
Ni: 0.500 0.500 0.298
Ni: 0.500 0.500 0.500
Ni: 0.500 0.500 0.702
Ni: 0.500 0.500 0.900
Pt: 0.000 0.000 0.500

## Properties
- SG: No. 123
- Energy of formation: -2.04 eV per formula unit



Below is AcGe2Au4 after structural relaxation, with properties calculated at the GGA-PBE level.

Lattice parameters (Å, degrees): 4.657 17.862 8.604 90.00 122.71 90.00
Sites, in units of the cell vectors:
Ac: 0.236 0.125 0.487
Ac: 0.236 0.375 0.987
Ac: 0.764 0.625 0.013
Ac: 0.764 0.875 0.513
Ge: 0.292 0.731 0.541
Ge: 0.292 0.769 0.041
Ge: 0.492 0.033 0.241
Ge: 0.492 0.467 0.741
Ge: 0.508 0.533 0.259
Ge: 0.508 0.967 0.759
Ge: 0.708 0.231 0.959
Ge: 0.708 0.269 0.459
Au: 0.001 0.538 0.750
Au: 0.001 0.962 0.250
Au: 0.018 0.198 0.768
Au: 0.018 0.302 0.268
Au: 0.267 0.585 0.516
Au: 0.267 0.915 0.016
Au: 0.415 0.177 0.166
Au: 0.415 0.323 0.666
Au: 0.585 0.677 0.334
Au: 0.585 0.823 0.834
Au: 0.733 0.085 0.984
Au: 0.733 0.415 0.484
Au: 0.982 0.698 0.732
Au: 0.982 0.802 0.232
Au: 0.999 0.038 0.750
Au: 0.999 0.462 0.250

## Properties
- SG: No. 14
- Energy of formation: -2.90 eV per formula unit
- Excess energy over the best structure of this formula in the dataset: 0.025 eV per atom



Below is Pr2SmDyTm4 after structural relaxation, with properties calculated at the GGA-PBE level.

Lattice parameters (Å, degrees): 5.076 5.098 9.928 90.00 90.00 90.00
Sites, in units of the cell vectors:
Pr: 0.000 0.000 0.000
Pr: 0.500 0.500 0.500
Sm: 0.000 0.000 0.500
Dy: 0.500 0.500 0.000
Tm: 0.000 0.500 0.249
Tm: 0.000 0.500 0.751
Tm: 0.500 0.000 0.249
Tm: 0.500 0.000 0.751

## Properties
- SG: No. 47
- Energy of formation: 0.20 eV per formula unit



Below is Ac8Ir3I4O after structural relaxation, with properties calculated at the GGA-PBE level.

Lattice parameters (Å, degrees): 8.595 8.595 9.926 114.94 114.94 61.84
Sites, in units of the cell vectors:
Ac: 0.217 0.736 0.690
Ac: 0.228 0.228 0.684
Ac: 0.264 0.783 0.310
Ac: 0.298 0.298 0.335
Ac: 0.702 0.702 0.665
Ac: 0.736 0.217 0.690
Ac: 0.772 0.772 0.316
Ac: 0.783 0.264 0.310
Ir: 0.000 0.000 0.500
Ir: 0.000 0.500 0.500
Ir: 0.500 0.000 0.500
I: 0.000 0.000 0.000
I: 0.000 0.500 0.000
I: 0.500 0.000 0.000
I: 0.500 0.500 0.000
O: 0.500 0.500 0.500

## Properties
- SG: No. 12
- E_form (uncorrected): -1848 kJ/mol of formula units



It is found that the VASP energy values, taken in the order of the records, are -99.90 -117.40 -36.57 -89.76 eV for the cell shown.
It is found that the N(E_F) values, taken in the order of the records, are 1.108 0.275 1.409 0.391 states/eV/atom.